# NaHWO2

An optimized crystal structure of NaHWO2 (PBE with a Hubbard U, Alexandria).

The structure belongs to space group P4/mmm (No. 123); the cell edges are 4.074, 4.074 and 3.719 Å and the angles 90.00°, 90.00° and 90.00°. The inequivalent atoms are Na at (0.000, 0.000, 0.000), H at (0.500, 0.500, 0.000), W at (0.500, 0.500, 0.500) and O at (0.000, 0.500, 0.500).

As for the volume: 62 Å³/cell. The value obtained for the electronic total energy is -28.3 eV per formula unit.